Record 1
4
Lattice="4.544 -1.415 0.000 4.544 1.415 0.000 -1.060 0.000 5.671" Properties=species:S:1:pos:R:3 comment="LaIrOs2, optimized geometry, DFT GGA-PBEsol" energy_ev_per_atom=-9.541 spacegroup="Cm (8)" polymorph_energy_mev_per_atom=0 formation_energy_mev_per_atom=359.2 pbc="T T T"
La 0.000 0.000 0.000
Ir 1.372 0.000 3.984
Os 3.968 0.000 2.717
Os 6.484 0.000 1.942

=====

Record 2
3
Lattice="-1.698 1.698 5.666 1.698 -1.698 5.666 1.698 1.698 -5.666" Properties=species:S:1:pos:R:3 comment="LaHgRu, optimized geometry, DFT GGA-PBEsol" energy_ev_per_atom=-5.344 spacegroup="I4mm (107)" formation_energy_mev_per_atom=18.3 pbc="T T T"
La 0.000 0.000 0.000
Hg 0.000 0.000 8.083
Ru 0.000 0.000 3.968

=====

Record 3
10
Lattice="8.465 0.000 0.000 0.000 8.465 0.000 0.000 0.000 3.079" Properties=species:S:1:pos:R:3 comment="Al2Hg2Te, optimized geometry, DFT GGA-PBEsol" energy_ev_per_atom=-2.439 spacegroup="P4/mbm (127)" pbc="T T T"
Al 1.050 3.182 0.000
Al 3.182 7.415 0.000
Al 5.282 1.050 0.000
Al 7.415 5.282 0.000
Hg 1.457 5.689 1.539
Hg 2.775 1.457 1.539
Hg 5.689 7.008 1.539
Hg 7.008 2.775 1.539
Te 0.000 0.000 1.539
Te 4.232 4.232 1.539

=====

Record 4
9
Lattice="-4.944 4.944 2.044 4.944 -4.944 2.044 4.944 4.944 -2.044" Properties=species:S:1:pos:R:3 comment="Mg5Zr4, optimized geometry, DFT GGA-PBEsol" energy_ev_per_atom=-4.978 spacegroup="I4/mmm (139)" formation_energy_mev_per_atom=16.1 pbc="T T T"
Mg 0.000 0.000 0.000
Mg 3.259 3.259 0.000
Mg 1.685 -1.685 2.044
Mg -1.685 1.685 2.044
Mg 1.685 1.685 2.044
Zr 3.379 0.000 0.000
Zr 6.509 0.000 0.000
Zr 0.000 3.379 0.000
Zr 0.000 6.509 0.000

=====

Record 5
9
Lattice="-4.374 4.374 2.026 4.374 -4.374 2.026 4.374 4.374 -2.026" Properties=species:S:1:pos:R:3 comment="Al8In, optimized geometry, DFT GGA-PBEsol" energy_ev_per_atom=-3.903 spacegroup="I4/mmm (139)" formation_energy_mev_per_atom=65.6 pbc="T T T"
Al 2.964 0.000 0.000
Al 5.784 0.000 0.000
Al 2.862 2.862 0.000
Al 1.512 -1.512 2.026
Al 0.000 2.964 0.000
Al 0.000 5.784 0.000
Al -1.512 1.512 2.026
Al 1.512 1.512 2.026
In 0.000 0.000 0.000

=====

Record 6
4
Lattice="5.885 0.000 0.000 0.000 5.885 0.000 0.000 0.000 3.658" Properties=species:S:1:pos:R:3 comment="Sr2ZrTl, optimized geometry, DFT GGA-PBEsol" energy_ev_per_atom=-3.553 spacegroup="P4/mmm (123)" polymorph_energy_mev_per_atom=200 formation_energy_mev_per_atom=297.6 pbc="T T T"
Sr 0.000 2.943 0.000
Sr 2.943 0.000 0.000
Zr 0.000 0.000 1.829
Tl 2.943 2.943 1.829

=====

Record 7
5
Lattice="5.093 0.000 0.000 0.000 5.093 0.000 0.000 0.000 6.125" Properties=species:S:1:pos:R:3 comment="KRuPb2Cl, optimized geometry, DFT GGA-PBEsol" energy_ev_per_atom=-4.274 spacegroup="P4/mmm (123)" pbc="T T T"
K 0.000 0.000 0.000
Ru 0.000 0.000 3.062
Pb 0.000 2.546 3.062
Pb 2.546 0.000 3.062
Cl 2.546 2.546 0.000

=====

Record 8
4
Lattice="0.000 3.781 3.781 3.781 0.000 3.781 3.781 3.781 0.000" Properties=species:S:1:pos:R:3 comment="InHgPb2, optimized geometry, DFT GGA-PBEsol" energy_ev_per_atom=-2.867 spacegroup="Fm-3m (225)" polymorph_energy_mev_per_atom=20 formation_energy_mev_per_atom=19.3 pbc="T T T"
In 0.000 0.000 0.000
Hg 3.781 3.781 3.781
Pb 1.890 1.890 1.890
Pb 5.671 5.671 5.671

=====

Record 9
6
Lattice="0.000 3.735 3.735 3.735 0.000 3.735 3.735 3.735 0.000" Properties=species:S:1:pos:R:3 comment="CaAgPt4, optimized geometry, DFT GGA-PBEsol" energy_ev_per_atom=-6.045 spacegroup="F-43m (216)" formation_energy_mev_per_atom=-495.5 pbc="T T T"
Ca 0.000 0.000 0.000
Ag 1.868 1.868 1.868
Pt 4.668 2.803 2.803
Pt 2.803 4.668 2.803
Pt 2.803 2.803 4.668
Pt 4.668 4.668 4.668

=====

Record 10
5
Lattice="4.531 0.000 0.000 0.000 4.531 0.000 0.000 0.000 4.531" Properties=species:S:1:pos:R:3 comment="CsRu3F, optimized geometry, DFT GGA-PBEsol" energy_ev_per_atom=-4.933 spacegroup="Pm-3m (221)" polymorph_energy_mev_per_atom=0 pbc="T T T"
Cs 0.000 0.000 0.000
Ru 0.000 2.265 2.265
Ru 2.265 0.000 2.265
Ru 2.265 2.265 0.000
F 2.265 2.265 2.265

=====

Record 11
5
Lattice="4.431 0.000 0.000 0.000 4.431 0.000 0.000 0.000 5.092" Properties=species:S:1:pos:R:3 comment="KSiTcIr2, optimized geometry, DFT GGA-PBEsol" energy_ev_per_atom=-6.126 spacegroup="P4/mmm (123)" pbc="T T T"
K 0.000 0.000 0.000
Si 0.000 0.000 2.546
Tc 2.215 2.215 0.000
Ir 0.000 2.215 2.546
Ir 2.215 0.000 2.546

=====

Record 12
3
Lattice="0.000 2.866 2.866 2.866 0.000 2.866 2.866 2.866 0.000" Properties=species:S:1:pos:R:3 comment="AlZnIr, optimized geometry, DFT GGA-PBEsol" energy_ev_per_atom=-5.158 spacegroup="F-43m (216)" formation_energy_mev_per_atom=7.6 pbc="T T T"
Al 0.000 0.000 0.000
Zn 1.433 1.433 1.433
Ir 2.866 2.866 2.866

=====

Record 13
4
Lattice="-1.742 2.123 5.192 1.742 -2.123 5.192 1.742 2.123 -5.192" Properties=species:S:1:pos:R:3 comment="PPtSe2, optimized geometry, DFT GGA-PBEsol" energy_ev_per_atom=-4.997 spacegroup="Imm2 (44)" pbc="T T T"
P 0.000 0.000 0.000
Pt 1.742 0.000 1.680
Se 0.000 0.000 3.536
Se 0.000 2.123 1.412

=====

Record 14
5
Lattice="6.425 0.000 0.000 0.000 6.425 0.000 0.000 0.000 6.780" Properties=species:S:1:pos:R:3 comment="BaSbTeI2, optimized geometry, DFT GGA-PBEsol" energy_ev_per_atom=-2.733 spacegroup="P4/mmm (123)" polymorph_energy_mev_per_atom=670 pbc="T T T"
Ba 0.000 0.000 0.000
Sb 3.213 3.213 3.390
Te 0.000 0.000 3.390
I 0.000 3.213 0.000
I 3.213 0.000 0.000

=====

Record 15
4
Lattice="2.203 1.272 15.127 -2.203 1.272 15.127 0.000 -2.544 15.127" Properties=species:S:1:pos:R:3 comment="K3Sr, optimized geometry, DFT GGA-PBEsol" energy_ev_per_atom=-1.251 spacegroup="R-3m (166)" polymorph_energy_mev_per_atom=0 formation_energy_mev_per_atom=59.5 pbc="T T T"
K 0.000 0.000 0.000
K 0.000 0.000 11.231
K 0.000 0.000 34.149
Sr 0.000 0.000 22.690

=====

Record 16
7
Lattice="4.589 0.000 0.000 -2.294 3.974 0.000 0.000 0.000 4.737" Properties=species:S:1:pos:R:3 comment="Fe3Tc4, optimized geometry, DFT GGA-PBEsol" energy_ev_per_atom=-10.263 spacegroup="P6/mmm (191)" polymorph_energy_mev_per_atom=0 formation_energy_mev_per_atom=16.1 pbc="T T T"
Fe -1.147 1.987 0.000
Fe 2.294 0.000 0.000
Fe 1.147 1.987 0.000
Tc 0.000 0.000 1.215
Tc 0.000 0.000 3.522
Tc 0.000 2.649 2.368
Tc 2.294 1.325 2.368

=====

Record 17
3
Lattice="-1.839 1.839 6.084 1.839 -1.839 6.084 1.839 1.839 -6.084" Properties=species:S:1:pos:R:3 comment="CaMg2, optimized geometry, DFT GGA-PBEsol" energy_ev_per_atom=-1.919 spacegroup="I4/mmm (139)" formation_energy_mev_per_atom=-63.1 pbc="T T T"
Ca 0.000 0.000 0.000
Mg 0.000 0.000 3.866
Mg 0.000 0.000 8.303

=====

Record 18
12
Lattice="4.395 0.000 0.000 0.000 4.054 0.000 0.000 0.000 7.678" Properties=species:S:1:pos:R:3 comment="Co2Re, optimized geometry, DFT GGA-PBEsol" energy_ev_per_atom=-9.659 spacegroup="Pnma (62)" polymorph_energy_mev_per_atom=31 formation_energy_mev_per_atom=-56.5 pbc="T T T"
Co 0.734 1.013 0.005
Co 0.771 1.013 5.126
Co 1.426 3.040 1.287
Co 1.464 3.040 3.844
Co 2.932 1.013 3.834
Co 2.969 1.013 6.391
Co 3.624 3.040 2.552
Co 3.661 3.040 7.673
Re 0.742 1.013 2.640
Re 1.455 3.040 6.479
Re 2.940 1.013 1.200
Re 3.653 3.040 5.039

=====

Record 19
4
Lattice="2.984 0.000 0.000 0.000 2.984 0.000 0.000 0.000 4.770" Properties=species:S:1:pos:R:3 comment="Be2TcP, optimized geometry, DFT GGA-PBEsol" energy_ev_per_atom=-6.572 spacegroup="P4mm (99)" formation_energy_mev_per_atom=-307.9 pbc="T T T"
Be 0.000 0.000 0.000
Be 1.492 1.492 0.993
Tc 1.492 1.492 3.381
P 0.000 0.000 2.217

=====

Record 20
8
Lattice="4.020 0.000 0.000 0.000 4.020 0.000 0.000 0.000 8.252" Properties=species:S:1:pos:R:3 comment="PrPOsO, optimized geometry, DFT GGA-PBEsol" energy_ev_per_atom=-8.946 spacegroup="P4/nmm (129)" pbc="T T T"
Pr 1.005 1.005 1.192
Pr 3.015 3.015 7.060
P 1.005 1.005 5.331
P 3.015 3.015 2.921
Os 1.005 3.015 4.126
Os 3.015 1.005 4.126
O 1.005 3.015 0.000
O 3.015 1.005 0.000